A plane-wave DFT calculation with GGA-PBE was carried out for a relaxed LiCa2Cd crystal.

Calculated values
The calculation puts the density of states at the Fermi level at 1.253 states/eV/atom. As for the space group: No. 216. The value obtained for the raw total energy is -1.769 eV/atom.

Cell: 5.3937 5.3937 5.3937 Å, 60.00 60.00 60.00°
Fractional coordinates of all 4 atoms:
Li 0.0000 0.0000 0.0000
Ca 0.2500 0.2500 0.2500
Ca 0.5000 0.5000 0.5000
Cd 0.7500 0.7500 0.7500